1.
CrN2 | PBE-GGA | relaxed

SG: C2/c (15)
formation energy (no corrections): 131.8 meV/atom
E_tot: -8.626 eV per atom
V: 17.838 Å³/atom

Unit cell a=8.157 b=8.157 c=9.632 alpha=126.15 beta=126.15 gamma=40.08
Sites, in units of the cell vectors:
Cr1 0.001 0.999 0.750
Cr2 0.048 0.616 0.332
Cr3 0.384 0.952 0.168
Cr4 0.616 0.048 0.832
Cr5 0.952 0.384 0.668
Cr6 0.999 0.001 0.250
N1 0.087 0.742 0.269
N2 0.090 0.740 0.560
N3 0.258 0.913 0.231
N4 0.260 0.910 0.940
N5 0.266 0.270 0.767
N6 0.270 0.266 0.267
N7 0.730 0.734 0.733
N8 0.734 0.730 0.233
N9 0.740 0.090 0.060
N10 0.742 0.087 0.769
N11 0.910 0.260 0.440
N12 0.913 0.258 0.731

=====

2.
CoPtRh2 | PBE-GGA | relaxed

SG: C2/m (12)
energy relative to the elements: 0.0 eV per formula unit
E_tot: -6.958 eV per atom
V: 13.924 Å³/atom

Unit cell a=4.692 b=4.692 c=4.656 alpha=100.05 beta=100.05 gamma=33.54
Sites, in units of the cell vectors:
Co1 0.000 0.000 0.000
Pt1 0.500 0.500 0.500
Rh1 0.255 0.255 0.758
Rh2 0.745 0.745 0.242

=====

| no. | total magnetization (Bohr magnetons per cell) |
| --- | --- |
| 1 | 0.00 |
| 2 | 2.78 |